1.
## BaInCl (PBE)

Data for a geometry-optimized BaInCl structure.

spin magnetization	0.00	μB per formula unit
space-group type	I4mm
calculated total energy	-0.1150	Ha/atom

a b c (Å): 7.2355 7.2355 7.2355
angles (deg): 145.88 145.88 49.03
Last column: nearest neighbours and their distance in Å.
Element x y z (fractional)
Ba (0.0000, 0.0000, 0.0000)  4 Cl 3.16
In (0.6718, 0.6718, 0.0000)  1 Cl 3.26
Cl (0.4239, 0.4239, 0.0000)  4 Ba 3.16, 1 In 3.26

2.
## BaInCl6 (PBE)

Data for a geometry-optimized BaInCl6 structure.

spin magnetization	1.00	μB per formula unit
space-group type	P-1
calculated total energy	-0.1228	Ha/atom

a b c (Å): 5.7509 6.1826 7.0894
angles (deg): 74.64 67.47 82.44
Last column: nearest neighbours and their distance in Å.
Element x y z (fractional)
Ba (0.0000, 0.0000, 0.0000)  10 Cl 3.32-3.69
In (0.5000, 0.5000, 0.5000)  6 Cl 2.51-2.61
Cl (0.0697, 0.6012, 0.7355)  1 In 2.51
Cl (0.3061, 0.1524, 0.4781)  1 In 2.61, 1 Cl 2.78
Cl (0.4564, 0.7444, 0.1635)  1 In 2.55
Cl (0.5436, 0.2556, 0.8365)  1 In 2.55
Cl (0.6939, 0.8476, 0.5219)  1 In 2.61, 1 Cl 2.78
Cl (0.9303, 0.3988, 0.2645)  1 In 2.51

3.
## BaInCl (PBE)

Data for a geometry-optimized BaInCl structure.

spin magnetization	0.00	μB per formula unit
space-group type	F-43m
calculated total energy	-0.0976	Ha/atom

a b c (Å): 5.5867 5.5867 5.5867
angles (deg): 60.00 60.00 60.00
Last column: nearest neighbours and their distance in Å.
Element x y z (fractional)
Ba (0.0000, 0.0000, 0.0000)  4 In 3.42
In (0.7500, 0.7500, 0.7500)  4 Ba 3.42, 4 Cl 3.42
Cl (0.5000, 0.5000, 0.5000)  4 In 3.42

4.
## BaIn3Cl (PBE)

Data for a geometry-optimized BaIn3Cl structure.

spin magnetization	0.00	μB per formula unit
space-group type	Pm-3m
calculated total energy	-0.0967	Ha/atom

a b c (Å): 5.6957 5.6957 5.6957
angles (deg): 90.00 90.00 90.00
Last column: nearest neighbours and their distance in Å.
Element x y z (fractional)
Ba (0.0000, 0.0000, 0.0000)  12 In 4.03
In (0.0000, 0.5000, 0.5000)  2 Cl 2.85
In (0.5000, 0.0000, 0.5000)  2 Cl 2.85
In (0.5000, 0.5000, 0.0000)  2 Cl 2.85
Cl (0.5000, 0.5000, 0.5000)  6 In 2.85

5.
## BaInCl2 (PBE)

Data for a geometry-optimized BaInCl2 structure.

spin magnetization	0.96	μB per formula unit
space-group type	P4mm
calculated total energy	-0.1260	Ha/atom

a b c (Å): 4.4896 4.4896 6.3604
angles (deg): 90.00 90.00 90.00
Last column: nearest neighbours and their distance in Å.
Element x y z (fractional)
Ba (0.0000, 0.0000, 0.0000)  6 Cl 3.07-3.31
In (0.5000, 0.5000, 0.6287)  6 Cl 3.05-3.31
Cl (0.0000, 0.0000, 0.4824)  2 Ba 3.07-3.29, 4 In 3.31
Cl (0.5000, 0.5000, 0.1486)  2 In 3.05-3.31, 4 Ba 3.31

6.
## BaInCl (PBE)

Data for a geometry-optimized BaInCl structure.

spin magnetization	0.00	μB per formula unit
space-group type	P3m1
calculated total energy	-0.1124	Ha/atom

a b c (Å): 5.2516 5.2516 5.1734
angles (deg): 90.00 90.00 120.00
Last column: nearest neighbours and their distance in Å.
Element x y z (fractional)
Ba (0.0000, 0.0000, 0.0000)  3 Cl 3.03
In (0.3333, 0.6667, 0.4989)  6 Cl 3.92-4.05, 6 Ba 3.98-3.99
Cl (0.6667, 0.3333, 0.0176)  3 Ba 3.03

7.
## BaInCl (PBE)

Data for a geometry-optimized BaInCl structure.

spin magnetization	0.00	μB per formula unit
space-group type	F-43m
calculated total energy	-0.1109	Ha/atom

a b c (Å): 5.3725 5.3725 5.3725
angles (deg): 60.00 60.00 60.00
Last column: nearest neighbours and their distance in Å.
Element x y z (fractional)
Ba (0.0000, 0.0000, 0.0000)  4 Cl 3.29
In (0.5000, 0.5000, 0.5000)  4 Cl 3.29
Cl (0.7500, 0.7500, 0.7500)  4 Ba 3.29, 4 In 3.29

8.
## BaIn3Cl12 (PBE)

Data for a geometry-optimized BaIn3Cl12 structure.

spin magnetization	1.42	μB per formula unit
space-group type	R3c
calculated total energy	-0.1181	Ha/atom

a b c (Å): 13.6821 13.6821 13.6821
angles (deg): 48.69 48.69 48.69
Last column: nearest neighbours and their distance in Å.
Element x y z (fractional)
Ba (0.0000, 0.0000, 0.0000)  9 Cl 3.22-3.31
Ba (0.5000, 0.5000, 0.5000)  9 Cl 3.22-3.31
In (0.0988, 0.3655, 0.7089)  4 Cl 2.37-2.42
In (0.2089, 0.8655, 0.5988)  4 Cl 2.37-2.42
In (0.3655, 0.7089, 0.0988)  4 Cl 2.37-2.42
In (0.5988, 0.2089, 0.8655)  4 Cl 2.37-2.42
In (0.7089, 0.0988, 0.3655)  4 Cl 2.37-2.42
In (0.8655, 0.5988, 0.2089)  4 Cl 2.37-2.42
Cl (0.0831, 0.1025, 0.4736)  1 In 2.37
Cl (0.1025, 0.4736, 0.0831)  1 In 2.37
Cl (0.1495, 0.1906, 0.6631)  1 In 2.41
Cl (0.1631, 0.6906, 0.6495)  1 In 2.41
Cl (0.1780, 0.8207, 0.8174)  1 In 2.40
Cl (0.1906, 0.6631, 0.1495)  1 In 2.41
Cl (0.2916, 0.9599, 0.9508)  1 In 2.42
Cl (0.3174, 0.3207, 0.6780)  1 In 2.40
Cl (0.3207, 0.6780, 0.3174)  1 In 2.40
Cl (0.4508, 0.4599, 0.7916)  1 In 2.42
Cl (0.4599, 0.7916, 0.4508)  1 In 2.42
Cl (0.4736, 0.0831, 0.1025)  1 In 2.37
Cl (0.5831, 0.9736, 0.6025)  1 In 2.37
Cl (0.6025, 0.5831, 0.9736)  1 In 2.37
Cl (0.6495, 0.1631, 0.6906)  1 In 2.41
Cl (0.6631, 0.1495, 0.1906)  1 In 2.41
Cl (0.6780, 0.3174, 0.3207)  1 In 2.40
Cl (0.6906, 0.6495, 0.1631)  1 In 2.41
Cl (0.7916, 0.4508, 0.4599)  1 In 2.42
Cl (0.8174, 0.1780, 0.8207)  1 In 2.40
Cl (0.8207, 0.8174, 0.1780)  1 In 2.40
Cl (0.9508, 0.2916, 0.9599)  1 In 2.42
Cl (0.9599, 0.9508, 0.2916)  1 In 2.42
Cl (0.9736, 0.6025, 0.5831)  1 In 2.37

9.
## BaInCl4 (PBE)

Data for a geometry-optimized BaInCl4 structure.

spin magnetization	0.13	μB per formula unit
space-group type	I-4
calculated total energy	-0.1308	Ha/atom

a b c (Å): 6.3654 6.3654 6.3654
angles (deg): 108.99 108.99 110.44
Last column: nearest neighbours and their distance in Å.
Element x y z (fractional)
Ba (0.0000, 0.0000, 0.0000)  8 Cl 3.16-3.37
In (0.2500, 0.7500, 0.5000)  4 Cl 2.66
Cl (0.1260, 0.1150, 0.5613)  1 In 2.66
Cl (0.4353, 0.8740, 0.9890)  1 In 2.66
Cl (0.5538, 0.5647, 0.4387)  1 In 2.66
Cl (0.8850, 0.4462, 0.0110)  1 In 2.66

What are the uncorrected formation energy values for these records? In order: -960.6; -1372.9; -486.8; -235.5; -1340.0; -889.2; -848.7; -1194.7; -1552.6 meV per atom.